No. 1
Computed, not measured: a relaxed structure of GeSBr at the GGA-PBE level of DFT.

Cell lengths 3.6315, 5.0768, 9.2163 Å; angles 90.02, 101.36, 90.00 degrees
Positions (direct):
S: 0.7972 0.7501 0.5945
S: 0.2028 0.2499 0.4055
Br: 0.4083 0.2502 0.8166
Br: 0.5917 0.7498 0.1834
Ge: 0.7994 0.2500 0.5989
Ge: 0.2006 0.7500 0.4011

Space-group type ... No. 63
Relative energy among the computed polymorphs ... 119 meV/atom

No. 2
Computed, not measured: a relaxed structure of LaTl2Cl at the GGA-PBE level of DFT.

Cell lengths 3.7713, 5.5175, 5.9206 Å; angles 90.00, 90.00, 90.00 degrees
Positions (direct):
Tl: 0.0000 0.0000 0.0001
Tl: 0.0000 0.0000 0.4999
Cl: 0.5000 0.5000 0.2500
La: 0.5000 0.5000 0.7500

Space-group type ... No. 47
Relative energy among the computed polymorphs ... 246 meV/atom

No. 3
Computed, not measured: a relaxed structure of MgI2NO at the GGA-PBE level of DFT.

Cell lengths 5.8349, 5.8349, 4.0559 Å; angles 90.00, 90.00, 90.00 degrees
Site moments in Bohr magnetons follow the coordinates.
Positions (direct):
I: 0.5000 0.0000 0.0000  0.47
I: 0.0000 0.5000 0.0000  0.47
Mg: 0.0000 0.0000 0.0000  -0.01
O: 0.5000 0.5000 0.5000  1.45
N: 0.0000 0.0000 0.5000  1.20

Space-group type ... No. 123
Relative energy among the computed polymorphs ... 329 meV/atom

No. 4
Computed, not measured: a relaxed structure of Ca3V5S12 at the GGA-PBE level of DFT.

Cell lengths 13.0169, 13.0169, 13.0169 Å; angles 109.47, 109.47, 109.47 degrees
Site moments in Bohr magnetons follow the coordinates.
Positions (direct):
S: 0.8858 0.5894 0.9068  -0.07
S: 0.3858 0.4068 0.0894  -0.07
S: 0.0210 0.4068 0.8174  -0.07
S: 0.7036 0.5894 0.1826  -0.07
S: 0.2964 0.4106 0.8174  -0.07
S: 0.1826 0.0932 0.9790  -0.07
S: 0.7036 0.1142 0.0210  -0.07
S: 0.2964 0.8858 0.9790  -0.07
S: 0.4106 0.2964 0.3174  -0.07
S: 0.7964 0.3174 0.9106  -0.07
S: 0.9106 0.8174 0.7964  -0.07
S: 0.0932 0.1826 0.4790  -0.07
S: 0.0932 0.9106 0.1142  -0.07
S: 0.9068 0.0894 0.8858  -0.07
S: 0.9790 0.3858 0.2964  -0.07
S: 0.3174 0.5210 0.4068  -0.07
S: 0.4790 0.6826 0.0932  -0.07
S: 0.9106 0.0932 0.6142  -0.07
S: 0.5210 0.2036 0.1142  -0.07
S: 0.5932 0.6142 0.4106  -0.07
S: 0.4068 0.0210 0.3174  -0.07
S: 0.4106 0.1142 0.5932  -0.07
S: 0.8174 0.9106 0.2964  -0.07
S: 0.2036 0.5210 0.6142  -0.07
S: 0.5932 0.9790 0.6826  -0.07
S: 0.0894 0.9068 0.3858  -0.07
S: 0.5894 0.7036 0.6826  -0.07
S: 0.3174 0.7964 0.4106  -0.07
S: 0.1142 0.4106 0.0932  -0.07
S: 0.8858 0.2964 0.4790  -0.07
S: 0.9068 0.8174 0.5210  -0.07
S: 0.5210 0.3174 0.9068  -0.07
S: 0.6826 0.2036 0.5894  -0.07
S: 0.4068 0.3858 0.5894  -0.07
S: 0.4790 0.7964 0.8858  -0.07
S: 0.6142 0.0210 0.2036  -0.07
S: 0.5894 0.8858 0.4068  -0.07
S: 0.1826 0.0894 0.7036  -0.07
S: 0.6826 0.4790 0.5932  -0.07
S: 0.9790 0.5932 0.1826  -0.07
S: 0.0210 0.6142 0.7036  -0.07
S: 0.3858 0.9790 0.7964  -0.07
S: 0.0894 0.1826 0.2036  -0.07
S: 0.1142 0.7036 0.5210  -0.07
S: 0.6142 0.5932 0.9106  -0.07
S: 0.2036 0.6826 0.0894  -0.07
S: 0.7964 0.4790 0.3858  -0.07
S: 0.8174 0.9068 0.0210  -0.07
V: 0.5000 0.5000 0.5000  1.96
V: 0.6250 0.7500 0.8750  1.00
V: 0.3750 0.1250 0.7500  1.00
V: 0.5000 0.5000 0.0000  1.96
V: 0.8750 0.6250 0.7500  1.00
V: 0.0000 0.0000 0.5000  1.96
V: 0.0000 0.5000 0.0000  1.96
V: 0.1250 0.7500 0.3750  1.00
V: 0.6250 0.8750 0.2500  1.00
V: 0.8750 0.2500 0.6250  1.00
V: 0.2500 0.3750 0.6250  1.00
V: 0.1250 0.3750 0.2500  1.00
V: 0.0000 0.0000 0.0000  1.96
V: 0.7500 0.1250 0.8750  1.00
V: 0.2500 0.8750 0.1250  1.00
V: 0.3750 0.2500 0.1250  1.00
V: 0.5000 0.0000 0.0000  1.96
V: 0.0000 0.5000 0.5000  1.96
V: 0.7500 0.6250 0.3750  1.00
V: 0.5000 0.0000 0.5000  1.96
Ca: 0.7500 0.8750 0.6250  0.00
Ca: 0.6250 0.3750 0.7500  0.00
Ca: 0.1250 0.8750 0.7500  0.00
Ca: 0.6250 0.2500 0.3750  0.00
Ca: 0.3750 0.7500 0.6250  0.00
Ca: 0.7500 0.3750 0.1250  0.00
Ca: 0.1250 0.2500 0.8750  0.00
Ca: 0.2500 0.1250 0.3750  0.00
Ca: 0.2500 0.6250 0.8750  0.00
Ca: 0.3750 0.6250 0.2500  0.00
Ca: 0.8750 0.1250 0.2500  0.00
Ca: 0.8750 0.7500 0.1250  0.00

Space-group type ... No. 230

Respective ΔE_f (raw) values: -0.2694 -0.5528 0.8790 -1.1286 eV/atom.
Respective M_tot values: 0.000 0.000 5.002 7.000 μB/f.u..